Entry 1:
B5C7 | PBE | relaxed

Cell lengths 4.6897, 2.5790, 6.6454 Å; angles 90.00, 92.56, 90.00 degrees
With the nearest neighbours (Å) after each atom.
Element x y z (fractional)
1 B 0.0000 0.0000 0.0000  3 C 1.57-1.62
2 B 0.0084 0.0000 0.3565  3 C 1.52-1.59
3 B 0.5141 0.5000 0.3059  4 C 1.61-1.68
4 B 0.6690 0.0000 0.7456  2 C 1.62-1.65
5 B 0.8792 0.5000 0.6203  2 C 1.57-1.64
6 C 0.1962 0.5000 0.9556  2 C 1.55-1.57, 2 B 1.62
7 C 0.2041 0.5000 0.7221  3 C 1.55-1.57, 1 B 1.64
8 C 0.3421 0.0000 0.4083  1 C 1.53, 3 B 1.59-1.68
9 C 0.3457 0.0000 0.6380  3 C 1.53-1.57, 1 B 1.65
10 C 0.5046 0.5000 0.0565  3 C 1.57, 1 B 1.66
11 C 0.6645 0.0000 0.9886  2 C 1.57, 2 B 1.57-1.62
12 C 0.8434 0.5000 0.3841  4 B 1.52-1.61

As for the formation energy: 339 meV/atom. For the energy relative to the lowest polymorph listed for this composition, the calculation gives 80.7 meV per atom. The space group is Pm (6). As for the calculated total energy: -7.82 eV/atom.


Entry 2:
Ba2PtBr | PBE | relaxed

Cell lengths 4.5528, 4.5528, 16.8221 Å; angles 90.00, 90.00, 120.00 degrees
With the nearest neighbours (Å) after each atom.
Element x y z (fractional)
1 Ba 0.3333 0.6667 0.1054  3 Pt 3.17
2 Ba 0.3333 0.6667 0.3946  3 Pt 3.17
3 Ba 0.6667 0.3333 0.6054  3 Pt 3.17
4 Ba 0.6667 0.3333 0.8946  3 Pt 3.17
5 Pt 0.0000 0.0000 0.0000  6 Ba 3.17
6 Pt 0.0000 0.0000 0.5000  6 Ba 3.17
7 Br 0.3333 0.6667 0.7500  6 Ba 3.58
8 Br 0.6667 0.3333 0.2500  6 Ba 3.58

For the energy relative to the lowest polymorph listed for this composition, the calculation gives 5.2 meV per atom. The calculation puts the uncorrected formation energy at -5.1 eV/f.u. The space group is P6_3/mmc (194). As for the calculated total energy: -4.16 eV/atom.


Entry 3:
Tb3Dy5Er2 | PBE | relaxed

Cell lengths 9.4235, 9.4235, 9.4192 Å; angles 108.25, 108.25, 111.64 degrees
With the nearest neighbours (Å) after each atom.
Element x y z (fractional)
1 Tb 0.0147 0.2659 0.0460  1 Er 3.18, 6 Dy 3.27-3.54, 1 Tb 3.44
2 Tb 0.2315 0.7685 0.7500  3 Dy 3.24-3.53, 4 Er 3.28-3.48, 2 Tb 3.44
3 Tb 0.2659 0.0147 0.5460  1 Er 3.18, 6 Dy 3.27-3.54, 1 Tb 3.44
4 Tb 0.7341 0.9853 0.4540  1 Er 3.18, 6 Dy 3.27-3.54, 1 Tb 3.44
5 Tb 0.7685 0.2315 0.2500  3 Dy 3.24-3.53, 4 Er 3.28-3.48, 2 Tb 3.44
6 Tb 0.9853 0.7341 0.9540  1 Er 3.18, 6 Dy 3.27-3.54, 1 Tb 3.44
7 Dy 0.0240 0.9760 0.7500  5 Tb 3.24-3.40, 2 Er 3.37, 2 Dy 3.48
8 Dy 0.1499 0.3867 0.7841  3 Tb 3.41-3.66, 2 Er 3.42-3.62, 3 Dy 3.48-3.61
9 Dy 0.2737 0.7263 0.2500  1 Dy 3.07, 2 Tb 3.27
10 Dy 0.3867 0.1499 0.2841  3 Tb 3.41-3.66, 2 Er 3.42-3.62, 3 Dy 3.48-3.61
11 Dy 0.4707 0.5293 0.2500  1 Dy 3.07, 2 Er 3.29
12 Dy 0.5293 0.4707 0.7500  1 Dy 3.07, 2 Er 3.29
13 Dy 0.6133 0.8501 0.7159  3 Tb 3.41-3.66, 2 Er 3.42-3.62, 3 Dy 3.48-3.61
14 Dy 0.7263 0.2737 0.7500  1 Dy 3.07, 2 Tb 3.27
15 Dy 0.8501 0.6133 0.2159  3 Tb 3.41-3.66, 2 Er 3.42-3.62, 3 Dy 3.48-3.61
16 Dy 0.9760 0.0240 0.2500  5 Tb 3.24-3.40, 2 Er 3.37, 2 Dy 3.48
17 Er 0.2227 0.4627 0.4526  3 Tb 3.18-3.48, 4 Dy 3.29-3.46
18 Er 0.4627 0.2227 0.9526  3 Tb 3.18-3.48, 4 Dy 3.29-3.46
19 Er 0.5373 0.7773 0.0474  3 Tb 3.18-3.48, 4 Dy 3.29-3.46
20 Er 0.7773 0.5373 0.5474  3 Tb 3.18-3.48, 4 Dy 3.29-3.46

As for the formation energy: 203 meV/atom. For the energy relative to the lowest polymorph listed for this composition, the calculation gives 0.0 meV per atom. The space group is C2/c (15). As for the calculated total energy: -4.40 eV/atom.


Among the records above, which one has the highest energy relative to the lowest polymorph listed for this composition?
B5C7


The highest calculated total energy belongs to which entry?
Ba2PtBr